1.
Material: YTlOs
Method: DFT, meta-GGA SCAN
State: single point on PBEsol structure

Output
- V: 63.68 Å³/f.u.
- Space-group type: P-6m2
- Calculated total energy: -57.25 eV/atom
- D(E_F): 0.9904 states/eV per atom
- Formation energy from the elements: 0.12 eV per atom

Cell lengths 4.656, 4.656, 3.391 Å; angles 90.00, 90.00, 120.00 degrees
Fractional coordinates of all 3 atoms:
Y1 0.000 0.000 0.000
Tl1 0.667 0.333 0.500
Os1 0.333 0.667 0.500

=====

2.
Material: SrSiTe2
Method: DFT, meta-GGA SCAN
State: single point on PBEsol structure

Output
- V: 126.92 Å³/f.u.
- Space-group type: P4mm
- E_form (uncorrected): -0.670 eV per atom
- Calculated total energy: -27.37 eV/atom

Cell lengths 4.419, 4.419, 6.500 Å; angles 90.00, 90.00, 90.00 degrees
Fractional coordinates of all 4 atoms:
Sr1 0.000 0.000 0.000
Si1 0.500 0.500 0.468
Te1 0.000 0.000 0.501
Te2 0.500 0.500 0.060

=====

3.
Material: ZrCu
Method: DFT, meta-GGA SCAN
State: single point on PBEsol structure

Output
- V: 33.79 Å³/f.u.
- Space-group type: Cmcm
- Calculated total energy: -23.14 eV/atom
- D(E_F): 0.9379 states/eV per atom
- Formation energy from the elements: -0.20 eV per atom

Cell lengths 3.197, 10.359, 4.081 Å; angles 90.00, 90.00, 90.00 degrees
Fractional coordinates of all 8 atoms:
Zr1 0.000 0.151 0.250
Zr2 0.000 0.849 0.750
Zr3 0.500 0.349 0.750
Zr4 0.500 0.651 0.250
Cu1 0.000 0.430 0.250
Cu2 0.000 0.570 0.750
Cu3 0.500 0.070 0.750
Cu4 0.500 0.930 0.250

=====

4.
Material: Be4CdAg
Method: DFT, meta-GGA SCAN
State: single point on PBEsol structure

Output
- V: 66.91 Å³/f.u.
- Space-group type: F-43m
- Calculated total energy: -13.15 eV/atom
- D(E_F): 0.1876 states/eV per atom
- Formation energy from the elements: 0.05 eV per atom

Cell lengths 4.557, 4.557, 4.557 Å; angles 60.00, 60.00, 60.00 degrees
Fractional coordinates of all 6 atoms:
Be1 0.124 0.124 0.124
Be2 0.124 0.124 0.627
Be3 0.124 0.627 0.124
Be4 0.627 0.124 0.124
Cd1 0.500 0.500 0.500
Ag1 0.750 0.750 0.750

=====

5.
Material: MnTcNi6
Method: DFT, meta-GGA SCAN
State: single point on PBEsol structure

Output
- V: 88.46 Å³/f.u.
- Space-group type: Cmmm
- Calculated total energy: -18.88 eV/atom
- D(E_F): 0.7342 states/eV per atom
- Formation energy from the elements: -0.08 eV per atom

Cell lengths 6.125, 6.125, 10.002 Å; angles 90.00, 90.00, 109.45 degrees
Fractional coordinates of all 32 atoms:
Mn1 0.000 0.000 0.247
Mn2 0.000 0.000 0.753
Mn3 0.250 0.750 0.000
Mn4 0.750 0.250 0.000
Tc1 0.250 0.750 0.500
Tc2 0.500 0.500 0.245
Tc3 0.500 0.500 0.755
Tc4 0.750 0.250 0.500
Ni1 0.000 0.000 0.000
Ni2 0.000 0.000 0.500
Ni3 0.126 0.375 0.125
Ni4 0.126 0.375 0.875
Ni5 0.126 0.376 0.375
Ni6 0.126 0.376 0.625
Ni7 0.251 0.749 0.251
Ni8 0.251 0.749 0.749
Ni9 0.375 0.126 0.125
Ni10 0.375 0.126 0.875
Ni11 0.376 0.126 0.375
Ni12 0.376 0.126 0.625
Ni13 0.500 0.500 0.000
Ni14 0.500 0.500 0.500
Ni15 0.624 0.874 0.375
Ni16 0.624 0.874 0.625
Ni17 0.625 0.874 0.125
Ni18 0.625 0.874 0.875
Ni19 0.749 0.251 0.251
Ni20 0.749 0.251 0.749
Ni21 0.874 0.624 0.375
Ni22 0.874 0.624 0.625
Ni23 0.874 0.625 0.125
Ni24 0.874 0.625 0.875

=====

6.
Material: LiRhPb3
Method: DFT, meta-GGA SCAN
State: single point on PBEsol structure

Output
- V: 145.51 Å³/f.u.
- Space-group type: Pm-3m
- Calculated total energy: -52.59 eV/atom
- D(E_F): 1.1205 states/eV per atom
- Formation energy from the elements: 0.11 eV per atom

Cell lengths 5.260, 5.260, 5.260 Å; angles 90.00, 90.00, 90.00 degrees
Fractional coordinates of all 5 atoms:
Li1 0.000 0.000 0.000
Rh1 0.500 0.500 0.500
Pb1 0.000 0.500 0.500
Pb2 0.500 0.000 0.500
Pb3 0.500 0.500 0.000

=====

7.
Material: LiZnW
Method: DFT, meta-GGA SCAN
State: single point on PBEsol structure

Output
- V: 47.56 Å³/f.u.
- Space-group type: F-43m
- Calculated total energy: -27.33 eV/atom
- D(E_F): 1.2453 states/eV per atom
- Formation energy from the elements: 1.20 eV per atom

Cell lengths 5.751, 5.751, 5.751 Å; angles 90.00, 90.00, 90.00 degrees
Fractional coordinates of all 12 atoms:
Li1 0.000 0.000 0.000
Li2 0.000 0.500 0.500
Li3 0.500 0.000 0.500
Li4 0.500 0.500 0.000
Zn1 0.250 0.250 0.250
Zn2 0.250 0.750 0.750
Zn3 0.750 0.250 0.750
Zn4 0.750 0.750 0.250
W1 0.000 0.000 0.500
W2 0.000 0.500 0.000
W3 0.500 0.000 0.000
W4 0.500 0.500 0.500

=====

8.
Material: TcBiTeN2
Method: DFT, meta-GGA SCAN
State: single point on PBEsol structure

Output
- V: 88.51 Å³/f.u.
- Space-group type: P4/mmm
- E_form (uncorrected): 0.847 eV per atom
- Energy relative to the lowest polymorph listed for this composition: 0.0 meV per atom
- Calculated total energy: -33.05 eV/atom
- D(E_F): 0.6737 states/eV per atom

Cell lengths 4.034, 4.034, 5.438 Å; angles 90.00, 90.00, 90.00 degrees
Fractional coordinates of all 5 atoms:
Tc1 0.000 0.000 0.000
Bi1 0.500 0.500 0.500
Te1 0.000 0.000 0.500
N1 0.000 0.500 0.000
N2 0.500 0.000 0.000

=====

9.
Material: La3BeSb
Method: DFT, meta-GGA SCAN
State: single point on PBEsol structure

Output
- V: 206.37 Å³/f.u.
- Space-group type: Pm-3m
- E_form (uncorrected): 0.335 eV per atom
- Calculated total energy: -33.85 eV/atom
- D(E_F): 1.8277 states/eV per atom

Cell lengths 5.909, 5.909, 5.909 Å; angles 90.00, 90.00, 90.00 degrees
Fractional coordinates of all 5 atoms:
La1 0.000 0.000 0.500
La2 0.000 0.500 0.000
La3 0.500 0.000 0.000
Be1 0.500 0.500 0.500
Sb1 0.000 0.000 0.000

=====

10.
Material: YCdSe2
Method: DFT, meta-GGA SCAN
State: single point on PBEsol structure

Output
- V: 94.31 Å³/f.u.
- Space-group type: P4/mmm
- E_form (uncorrected): -1.319 eV per atom
- Calculated total energy: -25.92 eV/atom
- D(E_F): 0.3519 states/eV per atom

Cell lengths 4.028, 4.028, 5.813 Å; angles 90.00, 90.00, 90.00 degrees
Fractional coordinates of all 4 atoms:
Y1 0.000 0.000 0.000
Cd1 0.500 0.500 0.500
Se1 0.000 0.000 0.500
Se2 0.500 0.500 0.000

=====

11.
Material: InCu2Te
Method: DFT, meta-GGA SCAN
State: single point on PBEsol structure

Output
- V: 76.96 Å³/f.u.
- Space-group type: Pmmm
- E_form (uncorrected): 0.159 eV per atom
- Energy relative to the lowest polymorph listed for this composition: 85.3 meV per atom
- Calculated total energy: -25.10 eV/atom
- D(E_F): 0.3939 states/eV per atom

Cell lengths 3.220, 3.874, 6.168 Å; angles 90.00, 90.00, 90.00 degrees
Fractional coordinates of all 4 atoms:
In1 0.000 0.000 0.000
Cu1 0.500 0.500 0.197
Cu2 0.500 0.500 0.803
Te1 0.500 0.000 0.500

=====

12.
Material: Hf2MnAg
Method: DFT, meta-GGA SCAN
State: single point on PBEsol structure

Output
- V: 67.73 Å³/f.u.
- Space-group type: Fm-3m
- Calculated total energy: -43.77 eV/atom
- D(E_F): 0.6928 states/eV per atom
- Formation energy from the elements: -0.03 eV per atom

Cell lengths 6.471, 6.471, 6.471 Å; angles 90.00, 90.00, 90.00 degrees
Fractional coordinates of all 16 atoms:
Hf1 0.250 0.250 0.250
Hf2 0.250 0.250 0.750
Hf3 0.250 0.750 0.250
Hf4 0.250 0.750 0.750
Hf5 0.750 0.250 0.250
Hf6 0.750 0.250 0.750
Hf7 0.750 0.750 0.250
Hf8 0.750 0.750 0.750
Mn1 0.000 0.000 0.000
Mn2 0.000 0.500 0.500
Mn3 0.500 0.000 0.500
Mn4 0.500 0.500 0.000
Ag1 0.000 0.000 0.500
Ag2 0.000 0.500 0.000
Ag3 0.500 0.000 0.000
Ag4 0.500 0.500 0.500